1.
Compound: ThTa2BeC4
Source: the Alexandria database
Functional: PBE
Structure: optimized geometry

The space group is Cmcm (No. 63) and the conventional cell measures 3.261, 10.761 and 10.832 Å, with angles of 90.00, 90.00 and 90.00 degrees. The distinct sites, in fractional coordinates, are Th at (0.000, 0.104, 0.250), Ta at (0.000, 0.367, 0.052), Be at (0.000, 0.164, 0.750), C at (0.000, 0.000, 0.000), C at (0.000, 0.265, 0.617) and C at (0.000, 0.425, 0.250).

The value obtained for the energy relative to the elements is -0.41 eV/atom. The calculation puts the total magnetization at 0.000 μB per atom. As for the final energy: -9.376 eV per atom.



2.
Compound: TaBeTl2C
Source: the Alexandria database
Functional: PBE
Structure: optimized geometry

The space group is P4/mmm (No. 123) and the conventional cell measures 5.526, 5.526 and 4.659 Å, with angles of 90.00, 90.00 and 90.00 degrees. The distinct sites, in fractional coordinates, are Ta at (0.000, 0.000, 0.000), Be at (0.000, 0.000, 0.500), Tl at (0.000, 0.500, 0.000) and C at (0.500, 0.500, 0.500).

The value obtained for the energy relative to the elements is 2.33 eV/atom. The calculation puts the total magnetization at 0.003 μB per atom. As for the final energy: -3.577 eV per atom.



3.
Compound: Tb3BeC2
Source: the Alexandria database
Functional: PBE
Structure: optimized geometry

The space group is Imma (No. 74) and the conventional cell measures 6.787, 8.711 and 7.346 Å, with angles of 90.00, 90.00 and 90.00 degrees. The distinct sites, in fractional coordinates, are Tb at (0.000, 0.250, 0.037), Tb at (0.250, 0.047, 0.750), Be at (0.000, 0.250, 0.432), C at (0.000, 0.250, 0.681) and C at (0.250, 0.250, 0.250).

The value obtained for the energy relative to the elements is 0.08 eV/atom. The calculation puts the total magnetization at 0.000 μB per atom. As for the final energy: -5.926 eV per atom.



4.
Compound: TbBeC
Source: the Alexandria database
Functional: PBE
Structure: optimized geometry

The space group is Pnma (No. 62) and the conventional cell measures 5.299, 3.287 and 9.833 Å, with angles of 90.00, 90.00 and 90.00 degrees. The distinct sites, in fractional coordinates, are Tb at (0.107, 0.250, 0.141), Be at (0.080, 0.750, 0.430) and C at (0.224, 0.250, 0.480).

The value obtained for the energy relative to the elements is -0.13 eV/atom. As for the excess energy over the best structure of this formula in the dataset: 103 meV/atom. The calculation puts the total magnetization at 0.000 μB per atom. As for the final energy: -5.988 eV per atom.



5.
Compound: TbBeC
Source: the Alexandria database
Functional: PBE
Structure: optimized geometry

The space group is P-6m2 (No. 187) and the conventional cell measures 3.3699, 3.3699 and 3.8256 Å, with angles of 90.00, 90.00 and 120.00 degrees. The distinct sites, in fractional coordinates, are Tb at (0.0000, 0.0000, 0.0000), Be at (0.3333, 0.6667, 0.5000) and C at (0.6667, 0.3333, 0.5000).

The value obtained for the energy relative to the elements is -0.23 eV/atom. As for the excess energy over the best structure of this formula in the dataset: 0 meV/atom. The calculation puts the total magnetization at 0.000 μB per atom. As for the final energy: -6.091 eV per atom.



6.
Compound: BeTc2C
Source: the Alexandria database
Functional: PBE
Structure: optimized geometry

The space group is I-42d (No. 122) and the conventional cell measures 5.763, 5.763 and 5.546 Å, with angles of 90.00, 90.00 and 90.00 degrees. The distinct sites, in fractional coordinates, are Be at (0.000, 0.000, 0.000), Tc at (0.205, 0.250, 0.625) and C at (0.000, 0.000, 0.500).

The value obtained for the energy relative to the elements is 0.39 eV/atom. As for the excess energy over the best structure of this formula in the dataset: 0 meV/atom. The calculation puts the total magnetization at 0.000 μB per atom. As for the final energy: -8.030 eV per atom.



7.
Compound: Be3TcC
Source: the Alexandria database
Functional: PBE
Structure: optimized geometry

The space group is Pm-3m (No. 221) and the conventional cell measures 4.150, 4.150 and 4.150 Å, with angles of 90.00, 90.00 and 90.00 degrees. The distinct sites, in fractional coordinates, are Be at (0.000, 0.000, 0.500), Tc at (0.000, 0.000, 0.000) and C at (0.500, 0.500, 0.500).

The value obtained for the energy relative to the elements is 2.25 eV/atom. As for the excess energy over the best structure of this formula in the dataset: 1763 meV/atom. The calculation puts the total magnetization at 0.000 μB per atom. As for the final energy: -3.906 eV per atom.



8.
Compound: BeTcC2
Source: the Alexandria database
Functional: PBE
Structure: optimized geometry

The space group is I-42d (No. 122) and the conventional cell measures 4.433, 4.433 and 8.835 Å, with angles of 90.00, 90.00 and 90.00 degrees. The distinct sites, in fractional coordinates, are Be at (0.000, 0.000, 0.000), Tc at (0.000, 0.000, 0.500) and C at (0.241, 0.250, 0.125).

The value obtained for the energy relative to the elements is 0.69 eV/atom. The calculation puts the total magnetization at 0.000 μB per atom. As for the final energy: -7.441 eV per atom.



9.
Compound: BeTc2C
Source: the Alexandria database
Functional: PBE
Structure: optimized geometry

The space group is Fm-3m (No. 225) and the conventional cell measures 5.498, 5.498 and 5.498 Å, with angles of 90.00, 90.00 and 90.00 degrees. The distinct sites, in fractional coordinates, are Be at (0.000, 0.000, 0.000), Tc at (0.250, 0.250, 0.250) and C at (0.000, 0.000, 0.500).

The value obtained for the energy relative to the elements is 0.65 eV/atom. As for the excess energy over the best structure of this formula in the dataset: 264 meV/atom. The calculation puts the total magnetization at 0.000 μB per atom. As for the final energy: -7.766 eV per atom.



10.
Compound: Be4TcC
Source: the Alexandria database
Functional: PBE
Structure: optimized geometry

The space group is F-43m (No. 216) and the conventional cell measures 5.923, 5.923 and 5.923 Å, with angles of 90.00, 90.00 and 90.00 degrees. The distinct sites, in fractional coordinates, are Be at (0.124, 0.124, 0.124), Tc at (0.250, 0.250, 0.750) and C at (0.000, 0.000, 0.500).

The value obtained for the energy relative to the elements is 0.63 eV/atom. The calculation puts the total magnetization at 0.000 μB per atom. As for the final energy: -5.117 eV per atom.



11.
Compound: Be3TcC
Source: the Alexandria database
Functional: PBE
Structure: optimized geometry

The space group is Pm-3m (No. 221) and the conventional cell measures 3.559, 3.559 and 3.559 Å, with angles of 90.00, 90.00 and 90.00 degrees. The distinct sites, in fractional coordinates, are Be at (0.000, 0.000, 0.500), Tc at (0.500, 0.500, 0.500) and C at (0.000, 0.000, 0.000).

The value obtained for the energy relative to the elements is 0.48 eV/atom. As for the excess energy over the best structure of this formula in the dataset: 0 meV/atom. The calculation puts the total magnetization at 0.000 μB per atom. As for the final energy: -5.669 eV per atom.



12.
Compound: BeTcC
Source: the Alexandria database
Functional: PBE
Structure: optimized geometry

The space group is R-3m (No. 166, hexagonal axes) and the conventional cell measures 3.5160, 3.5160 and 17.0038 Å, with angles of 90.00, 90.00 and 120.00 degrees. The distinct sites, in fractional coordinates, are Be at (0.0000, 0.0000, 0.1774), Tc at (0.0000, 0.0000, 0.4069) and C at (0.0000, 0.0000, 0.2811).

The value obtained for the energy relative to the elements is 0.30 eV/atom. The calculation puts the total magnetization at 0.000 μB per atom. As for the final energy: -7.472 eV per atom.



13.
Compound: BeTc3C
Source: the Alexandria database
Functional: PBE
Structure: optimized geometry

The space group is Pm-3m (No. 221) and the conventional cell measures 4.009, 4.009 and 4.009 Å, with angles of 90.00, 90.00 and 90.00 degrees. The distinct sites, in fractional coordinates, are Be at (0.000, 0.000, 0.000), Tc at (0.000, 0.500, 0.500) and C at (0.500, 0.500, 0.500).

The value obtained for the energy relative to the elements is 0.29 eV/atom. As for the excess energy over the best structure of this formula in the dataset: 0 meV/atom. The calculation puts the total magnetization at 0.000 μB per atom. As for the final energy: -8.518 eV per atom.